(1)
! VCd3Pd (PBE-GGA, optimized geometry); values from VASP
! **Electronic total energy**: -12.02 eV per cell
! **SG**: No. 221
! **Formation energy from the elements**: 1008 meV per atom
&SYSTEM
  ibrav = 0, nat = 5, ntyp = 3
/
ATOMIC_SPECIES
Cd 112.41 Cd.upf
V 50.94 V.upf
Pd 106.42 Pd.upf
CELL_PARAMETERS angstrom
-4.754 0.487 -2.024
0.844 -4.161 -2.985
-1.903 -3.063 3.732
ATOMIC_POSITIONS angstrom
Cd -0.951 -1.532 1.866
Cd 0.422 -2.080 -1.492
Cd -2.377 0.244 -1.012
V 0.000 0.000 0.000
Pd -2.906 -3.368 -0.638

***

(2)
! VCdPd4 (PBE-GGA, optimized geometry); values from VASP
! **Electronic total energy**: -32.04 eV per cell
! **SG**: No. 123
! **Formation energy from the elements**: -206 meV per atom
&SYSTEM
  ibrav = 0, nat = 6, ntyp = 3
/
ATOMIC_SPECIES
Pd 106.42 Pd.upf
Cd 112.41 Cd.upf
V 50.94 V.upf
CELL_PARAMETERS angstrom
-2.359 0.796 2.035
-0.032 -3.006 1.140
6.264 2.340 6.347
ATOMIC_POSITIONS angstrom
Pd -0.077 -0.687 2.720
Pd 2.216 0.828 2.246
Pd 4.048 1.512 4.102
Pd 3.951 0.817 6.801
Cd 0.000 0.000 0.000
V 1.937 0.065 4.761